1.
# Mn3Cd2

A geometry-optimized Mn3Cd2 structure (GGA-PBE, Alexandria via LeMat-Bulk).

## Properties
- Final energy: -5.203 eV per atom
- Calculated formation energy: 0.665 eV per atom
- SG: P-3m1 (164)

abc: 4.5291 4.5291 5.6448
angles: 90.00 90.00 120.00
Each line ends with the local moment (μB).
Sites, in units of the cell vectors:
Mn: 0.0000 0.0000 0.0000  3.82
Cd: 0.6667 0.3333 0.1632  -0.06
Cd: 0.3333 0.6667 0.8368  -0.06
Mn: 0.3333 0.6667 0.3528  3.88
Mn: 0.6667 0.3333 0.6472  3.88



2.
# LaNd4Os2

A geometry-optimized LaNd4Os2 structure (GGA-PBE, Alexandria via LeMat-Bulk).

## Properties
- Final energy: -6.654 eV per atom
- Calculated formation energy: -0.017 eV per atom
- SG: P2_1/m (11)

abc: 6.7070 8.1781 8.0039
angles: 113.37 90.00 90.00
Sites, in units of the cell vectors:
Nd: 0.9969 0.4154 0.7559
La: 0.7500 0.1640 0.0309
Nd: 0.2500 0.9835 0.6235
Nd: 0.2500 0.2491 0.3231
Os: 0.2500 0.6317 0.5977
Os: 0.7500 0.3683 0.4023
Nd: 0.7500 0.0165 0.3765
Os: 0.2500 0.2644 0.9813
Nd: 0.4969 0.5846 0.2441
La: 0.2500 0.8360 0.9691
Os: 0.7500 0.7356 0.0187
Nd: 0.5031 0.4154 0.7559
Nd: 0.0031 0.5846 0.2441
Nd: 0.7500 0.7509 0.6769